VASP calculation (PBE) on Nd3BRh4 after structural relaxation.

Values from the calculation:
* energy of formation: -3.950 eV per formula unit
* total moment: 0.0 μB per cell
* energy: -6.7921 eV per atom

Unit cell a=6.0300 b=6.0300 c=6.0300 alpha=124.49 beta=105.67 gamma=99.41
With the nearest neighbours (Å) after each atom.
Element x y z (fractional)
Nd: 0.0000 0.0000 0.0000  4 Rh 3.06-3.12
Nd: 0.3797 0.6211 0.7586  7 Rh 2.89-3.05
Nd: 0.8625 0.6211 0.2414  7 Rh 2.89-3.05
B: 0.5538 0.0538 0.5000  4 Rh 2.08
Rh: 0.3572 0.1079 0.7507  1 B 2.08
Rh: 0.3572 0.6065 0.2493  1 B 2.08
Rh: 0.5739 0.2577 0.3163  1 B 2.08
Rh: 0.9414 0.2577 0.6837  1 B 2.08


VASP calculation (PBE) on Nd2BRh2 after structural relaxation.

Values from the calculation:
* energy of formation: -2.756 eV per formula unit
* total moment: 0.0 μB per cell
* energy: -6.7343 eV per atom

Unit cell a=7.1571 b=7.1571 c=7.1571 alpha=130.37 beta=73.06 gamma=130.07
With the nearest neighbours (Å) after each atom.
Element x y z (fractional)
Nd: 0.1410 0.1778 0.3188  6 Rh 2.92-3.20, 2 B 2.94
Nd: 0.3590 0.6778 0.0368  6 Rh 2.92-3.20, 2 B 2.94
Nd: 0.6410 0.3222 0.9632  6 Rh 2.92-3.20, 2 B 2.94
Nd: 0.8590 0.8222 0.6812  6 Rh 2.92-3.20, 2 B 2.94
B: 0.2500 0.7500 0.5000  4 Rh 2.13
B: 0.7500 0.2500 0.5000  4 Rh 2.13
Rh: 0.0992 0.6630 0.7622  2 B 2.13
Rh: 0.4008 0.1630 0.5638  2 B 2.13
Rh: 0.5992 0.8370 0.4362  2 B 2.13
Rh: 0.9008 0.3370 0.2378  2 B 2.13


VASP calculation (PBE) on NdB2Rh7 after structural relaxation.

Values from the calculation:
* energy of formation: -0.517 eV per formula unit
* total moment: 0.0 μB per cell
* energy: -7.0099 eV per atom

Unit cell a=6.3958 b=6.3958 c=4.1752 alpha=90.00 beta=90.00 gamma=114.40
With the nearest neighbours (Å) after each atom.
Element x y z (fractional)
Nd: 0.0000 0.0000 0.0000  8 Rh 2.88
B: 0.2973 0.7027 0.5000  7 Rh 2.09-2.25
B: 0.7027 0.2973 0.5000  7 Rh 2.09-2.25
Rh: 0.0556 0.3290 0.5000  2 B 2.18-2.25
Rh: 0.3021 0.6979 0.0000  2 B 2.09
Rh: 0.3290 0.0556 0.5000  2 B 2.18-2.25
Rh: 0.5000 0.5000 0.5000  2 B 2.18
Rh: 0.6710 0.9444 0.5000  2 B 2.18-2.25
Rh: 0.6979 0.3021 0.0000  2 B 2.09
Rh: 0.9444 0.6710 0.5000  2 B 2.18-2.25


VASP calculation (PBE) on NdB4Rh6 after structural relaxation.

Values from the calculation:
* excess energy over the best structure of this formula in the dataset: 0 meV/atom
* energy of formation: -3.517 eV per formula unit
* total moment: 0.0 μB per cell
* energy: -7.1912 eV per atom

Unit cell a=6.7470 b=6.7470 c=3.4641 alpha=90.00 beta=90.00 gamma=120.00
With the nearest neighbours (Å) after each atom.
Element x y z (fractional)
Nd: 0.0000 0.0000 0.0000  6 Rh 2.90, 6 B 2.98
B: 0.3333 0.6667 0.0000  9 Rh 2.34-2.38
B: 0.4156 0.2078 0.5000  6 Rh 2.29-2.38, 2 B 2.54
B: 0.7922 0.2078 0.5000  6 Rh 2.29-2.38, 2 B 2.54
B: 0.7922 0.5844 0.5000  6 Rh 2.29-2.38, 2 B 2.54
Rh: 0.1991 0.3982 0.5000  4 B 2.34-2.38
Rh: 0.1991 0.8009 0.5000  4 B 2.34-2.38
Rh: 0.5366 0.0733 0.0000  5 B 2.29-2.38
Rh: 0.5366 0.4634 0.0000  5 B 2.29-2.38
Rh: 0.6018 0.8009 0.5000  4 B 2.34-2.38
Rh: 0.9267 0.4634 0.0000  5 B 2.29-2.38


VASP calculation (PBE) on NdB4Rh6 after structural relaxation.

Values from the calculation:
* excess energy over the best structure of this formula in the dataset: 29 meV/atom
* energy of formation: -3.197 eV per formula unit
* total moment: 0.0 μB per cell
* energy: -7.1621 eV per atom

Unit cell a=5.8107 b=5.8107 c=5.8107 alpha=120.60 beta=120.60 gamma=88.96
With the nearest neighbours (Å) after each atom.
Element x y z (fractional)
Nd: 0.0000 0.0000 0.0000  12 Rh 2.84-3.10, 4 B 2.95
B: 0.2806 0.5727 0.0000  2 B 2.08, 5 Rh 2.21-2.29
B: 0.4273 0.4273 0.7078  2 B 2.08, 5 Rh 2.21-2.29
B: 0.5727 0.2806 0.0000  2 B 2.08, 5 Rh 2.21-2.29
B: 0.7194 0.7194 0.2922  2 B 2.08, 5 Rh 2.21-2.29
Rh: 0.0000 0.5000 0.5000  4 B 2.29
Rh: 0.1080 0.1080 0.6326  4 B 2.21-2.36
Rh: 0.4754 0.4754 0.3674  4 B 2.21-2.36
Rh: 0.5000 0.0000 0.5000  4 B 2.29
Rh: 0.5246 0.8920 0.0000  4 B 2.21-2.36
Rh: 0.8920 0.5246 0.0000  4 B 2.21-2.36


VASP calculation (PBE) on Nd3B2Rh7 after structural relaxation.

Values from the calculation:
* energy of formation: -8.077 eV per formula unit
* total moment: 0.0 μB per cell
* energy: -7.2663 eV per atom

Unit cell a=11.0613 b=11.0613 c=4.2760 alpha=90.00 beta=90.00 gamma=157.73
With the nearest neighbours (Å) after each atom.
Element x y z (fractional)
Nd: 0.0000 0.0000 0.0000  12 Rh 2.99-3.02
Nd: 0.1883 0.8117 0.0000  10 Rh 2.92-3.26
Nd: 0.8117 0.1883 0.0000  10 Rh 2.92-3.26
B: 0.3986 0.6014 0.5000  6 Rh 2.11-2.20
B: 0.6014 0.3986 0.5000  6 Rh 2.11-2.20
Rh: 0.0968 0.9032 0.5000  2 B 2.14
Rh: 0.3016 0.6984 0.5000  1 B 2.11
Rh: 0.4038 0.5962 0.0000  2 B 2.14
Rh: 0.5000 0.5000 0.5000  2 B 2.20
Rh: 0.5962 0.4038 0.0000  2 B 2.14
Rh: 0.6984 0.3016 0.5000  1 B 2.11
Rh: 0.9032 0.0968 0.5000  2 B 2.14


VASP calculation (PBE) on Nd2BRh6 after structural relaxation.

Values from the calculation:
* energy of formation: 0.489 eV per formula unit
* total moment: 0.0 μB per cell
* energy: -6.6481 eV per atom

Unit cell a=6.9613 b=6.9613 c=4.1630 alpha=90.00 beta=90.00 gamma=120.00
With the nearest neighbours (Å) after each atom.
Element x y z (fractional)
Nd: 0.3333 0.6667 0.0000  6 Rh 2.83
Nd: 0.6667 0.3333 0.0000  6 Rh 2.83
B: 0.0000 0.0000 0.5000  6 Rh 2.06
Rh: 0.0000 0.2552 0.7523  1 B 2.06
Rh: 0.0000 0.7448 0.2477  1 B 2.06
Rh: 0.2552 0.0000 0.7523  1 B 2.06
Rh: 0.2552 0.2552 0.2477  1 B 2.06
Rh: 0.7448 0.0000 0.2477  1 B 2.06
Rh: 0.7448 0.7448 0.7523  1 B 2.06


VASP calculation (PBE) on NdB2Rh8 after structural relaxation.

Values from the calculation:
* energy of formation: 3.004 eV per formula unit
* total moment: 0.0 μB per cell
* energy: -6.7210 eV per atom

Unit cell a=5.2517 b=5.2517 c=7.0353 alpha=90.00 beta=90.00 gamma=90.00
With the nearest neighbours (Å) after each atom.
Element x y z (fractional)
Nd: 0.0000 0.0000 0.0000  8 Rh 2.93
B: 0.0000 0.5000 0.5000  8 Rh 2.26
B: 0.5000 0.0000 0.5000  8 Rh 2.26
Rh: 0.2553 0.2553 0.3167  2 B 2.26
Rh: 0.2553 0.2553 0.6833  2 B 2.26
Rh: 0.2553 0.7447 0.3167  2 B 2.26
Rh: 0.2553 0.7447 0.6833  2 B 2.26
Rh: 0.7447 0.2553 0.3167  2 B 2.26
Rh: 0.7447 0.2553 0.6833  2 B 2.26
Rh: 0.7447 0.7447 0.3167  2 B 2.26
Rh: 0.7447 0.7447 0.6833  2 B 2.26